(1)
CrSbW2: relaxed, PBE.

a b c (Å): 10.265 10.265 10.265
angles (deg): 158.46 158.46 30.65
Atoms (fractional coordinates):
Cr1 0.000 0.000 0.000
Cr2 0.750 0.250 0.500
Sb1 0.250 0.750 0.500
Sb2 0.500 0.500 0.000
W1 0.117 0.625 0.992
W2 0.375 0.367 0.492
W3 0.633 0.125 0.008
W4 0.875 0.883 0.508

Summary:
* space group: I-42d, No. 122

=====

(2)
Cr2SbW: relaxed, PBE.

a b c (Å): 8.305 8.305 8.305
angles (deg): 20.75 20.75 20.75
Atoms (fractional coordinates):
Cr1 0.000 0.000 0.000
Cr2 0.267 0.267 0.267
Sb1 0.757 0.757 0.757
W1 0.520 0.520 0.520

Summary:
* space group: R3m, No. 160

=====

| no. | VASP energy (eV/atom) | ΔE_f (raw) (meV/atom) |
| --- | --- | --- |
| 1 | -9.042 | 871 |
| 2 | -8.459 | 621 |